30
Lattice="6.659 0.000 0.000 -3.330 5.767 0.000 0.000 0.000 12.250" Properties=species:S:1:pos:R:3 comment="PrSbN2O, relaxed, DFT PBE" dft_energy_ev_per_cell=-204.680 magmom_total_mub_per_cell=0.00 sg=P6_3cm pbc="T T T"
Pr 0.000 0.000 0.000
Pr 0.000 0.000 6.125
Pr 0.000 3.845 5.759
Pr 0.000 3.845 11.884
Pr 3.330 1.922 5.759
Pr 3.330 1.922 11.884
Sb -1.111 1.925 2.847
Sb -2.218 3.842 8.972
Sb 2.223 0.000 2.847
Sb 1.111 1.925 8.972
Sb 4.436 0.000 8.972
Sb 2.218 3.842 2.847
N -1.044 1.808 4.776
N -1.174 2.034 0.924
N -2.155 3.733 7.049
N -2.286 3.959 10.901
N 2.088 0.000 4.776
N 1.044 1.808 10.901
N 2.349 0.000 0.924
N 1.174 2.034 7.049
N 4.311 0.000 7.049
N 2.155 3.733 0.924
N 4.571 0.000 10.901
N 2.286 3.959 4.776
O 0.000 0.000 2.607
O 0.000 0.000 8.732
O 0.000 3.845 3.043
O 0.000 3.845 9.168
O 3.330 1.922 3.043
O 3.330 1.922 9.168

20
Lattice="5.756 0.000 0.000 0.000 8.225 0.000 0.000 0.000 5.665" Properties=species:S:1:pos:R:3 comment="PrSbN2O, relaxed, DFT PBE" dft_energy_ev_per_cell=-139.888 magmom_total_mub_per_cell=0.01 sg=Pnma pbc="T T T"
Pr 0.265 2.056 0.097
Pr 2.613 6.169 2.930
Pr 3.143 2.056 2.736
Pr 5.491 6.169 5.568
Sb 0.000 0.000 2.833
Sb 0.000 4.113 2.833
Sb 2.878 0.000 0.000
Sb 2.878 4.113 0.000
N 1.197 4.516 4.487
N 1.197 7.822 4.487
N 1.681 0.403 1.654
N 1.681 3.710 1.654
N 4.075 4.516 4.011
N 4.075 7.822 4.011
N 4.558 0.403 1.179
N 4.558 3.710 1.179
O 0.117 6.169 2.311
O 2.761 2.056 5.144
O 2.995 6.169 0.522
O 5.639 2.056 3.354

Question: Number 2 is which compound?
Answer: PrSbN2O